(1)
# V2GaTc3, optimized geometry, DFT GGA-PBE
data_V2GaTc3
_chemical_formula_sum 'V2 Ga1 Tc3'
_cell_length_a 3.0475
_cell_length_b 3.0475
_cell_length_c 9.0677
_cell_angle_alpha 90.00
_cell_angle_beta 90.00
_cell_angle_gamma 90.00
_space_group_name_H-M_alt 'P 4/m m m'
_space_group_IT_number 123
_space_group_name_Hall '-P 4 2'
loop_
_atom_site_label
_atom_site_fract_x
_atom_site_fract_y
_atom_site_fract_z
V1 0.0000 0.0000 0.1674
Ga1 0.0000 0.0000 0.5000
Tc1 0.5000 0.5000 0.0000
Tc2 0.5000 0.5000 0.3260
# Crystal system: tetragonal
# Electronic total energy, eV/atom: -9.0122

=====

(2)
# SiSb2S, optimized geometry, DFT GGA-PBE
data_SiSb2S
_chemical_formula_sum 'Si4 Sb8 S4'
_cell_length_a 6.9725
_cell_length_b 6.9725
_cell_length_c 6.9725
_cell_angle_alpha 90.00
_cell_angle_beta 90.00
_cell_angle_gamma 90.00
_space_group_name_H-M_alt 'F m -3 m'
_space_group_IT_number 225
_space_group_name_Hall '-F 4 2 3'
loop_
_atom_site_label
_atom_site_fract_x
_atom_site_fract_y
_atom_site_fract_z
Si1 0.0000 0.0000 0.0000
Sb1 0.2500 0.2500 0.2500
S1 0.0000 0.0000 0.5000
# Energy relative to the lowest polymorph listed for this composition, meV/atom: 35
# Crystal system: cubic
# ΔE_f (raw), eV/atom: 0.3864
# Electronic total energy, eV/atom: -4.0624

=====

(3)
# YSnS2, optimized geometry, DFT GGA-PBE
data_YSnS2
_chemical_formula_sum 'Y4 Sn4 S8'
_cell_length_a 6.6455
_cell_length_b 6.6455
_cell_length_c 11.6077
_cell_angle_alpha 90.00
_cell_angle_beta 90.00
_cell_angle_gamma 90.00
_space_group_name_H-M_alt 'I -4 2 d'
_space_group_IT_number 122
_space_group_name_Hall 'I -4 2bw'
loop_
_atom_site_label
_atom_site_fract_x
_atom_site_fract_y
_atom_site_fract_z
Y1 0.0000 0.0000 0.0000
Sn1 0.0000 0.0000 0.5000
S1 0.2128 0.2500 0.1250
# Crystal system: tetragonal
# ΔE_f (raw), eV/atom: -0.9062
# Electronic total energy, eV/atom: -5.5867

=====

(4)
# TaTi2Nb2, optimized geometry, DFT GGA-PBE
data_TaTi2Nb2
_chemical_formula_sum 'Ta4 Ti8 Nb8'
_cell_length_a 11.3902
_cell_length_b 5.1489
_cell_length_c 6.4594
_cell_angle_alpha 90.00
_cell_angle_beta 108.88
_cell_angle_gamma 90.00
_space_group_name_H-M_alt 'C 1 2/c 1'
_space_group_IT_number 15
_space_group_name_Hall '-C 2yc'
loop_
_atom_site_label
_atom_site_fract_x
_atom_site_fract_y
_atom_site_fract_z
Ta1 0.0000 0.1199 0.2500
Ti1 0.0983 0.3779 0.9514
Nb1 0.2005 0.1295 0.6500
# Energy relative to the lowest polymorph listed for this composition, meV/atom: 0
# Crystal system: monoclinic
# Electronic total energy, eV/atom: -9.4510

=====

(5)
# NpPbBr6, optimized geometry, DFT GGA-PBE
data_NpPbBr6
_chemical_formula_sum 'Np3 Pb3 Br18'
_cell_length_a 7.2139
_cell_length_b 7.2139
_cell_length_c 19.8619
_cell_angle_alpha 90.00
_cell_angle_beta 90.00
_cell_angle_gamma 120.00
_space_group_name_H-M_alt 'R -3'
_space_group_IT_number 148
_space_group_name_Hall '-R 3'
loop_
_atom_site_label
_atom_site_fract_x
_atom_site_fract_y
_atom_site_fract_z
Np1 0.0000 0.0000 0.0000
Pb1 0.0000 0.0000 0.5000
Br1 0.0114 0.6544 0.5865
# Energy relative to the lowest polymorph listed for this composition, meV/atom: 6
# Crystal system: trigonal
# ΔE_f (raw), eV/atom: -1.0959
# Electronic total energy, eV/atom: -4.4317

=====

(6)
# TmZrCdTc, optimized geometry, DFT GGA-PBE
data_TmZrCdTc
_chemical_formula_sum 'Tm4 Zr4 Cd4 Tc4'
_cell_length_a 6.9196
_cell_length_b 6.9196
_cell_length_c 6.9196
_cell_angle_alpha 90.00
_cell_angle_beta 90.00
_cell_angle_gamma 90.00
_space_group_name_H-M_alt 'F -4 3 m'
_space_group_IT_number 216
_space_group_name_Hall 'F -4 2 3'
loop_
_atom_site_label
_atom_site_fract_x
_atom_site_fract_y
_atom_site_fract_z
Tm1 0.0000 0.0000 0.0000
Zr1 0.0000 0.0000 0.5000
Cd1 0.2500 0.2500 0.2500
Tc1 0.2500 0.2500 0.7500
# Energy relative to the lowest polymorph listed for this composition, meV/atom: 151
# Crystal system: cubic
# Electronic total energy, eV/atom: -6.2091

=====

Which of these has the lowest electronic total energy? TaTi2Nb2

=====

What is the electronic total energy in the fifth record? -4.4317 eV/atom

=====

Among the records above, which one has the highest electronic total energy? SiSb2S

=====

Which value of electronic total energy does entry 1 give? -9.0122 eV/atom